Below is a relaxed structure of K7Rb2Tl2, with properties calculated at the GGA-PBE level.

Lattice parameters (Å, degrees): 7.9782 7.9782 11.7011 90.79 90.79 101.84
Last column: nearest neighbours and their distance in Å.
Atoms (fractional coordinates):
K  0.9966  0.4955  0.6717  2 Tl 3.83-3.84, 2 K 4.02-4.27
K  0.5045  0.0034  0.3283  2 Tl 3.83-3.84, 2 K 4.02-4.27
K  0.0034  0.5045  0.3283  2 Tl 3.83-3.84, 2 K 4.02-4.27
K  0.4955  0.9966  0.6717  2 Tl 3.83-3.84, 2 K 4.02-4.27
K  0.0000  0.0000  0.5000  2 Tl 3.56
K  0.4964  0.4964  0.1946  2 Tl 3.83-3.90, 2 K 4.27
K  0.5036  0.5036  0.8054  2 Tl 3.83-3.90, 2 K 4.27
Rb  0.1701  0.8299  0.0000  1 Rb 4.21, 6 K 4.67-4.72
Rb  0.8299  0.1701  0.0000  1 Rb 4.21, 6 K 4.67-4.72
Tl  0.3536  0.3536  0.5018  1 Tl 2.95
Tl  0.6464  0.6464  0.4982  1 Tl 2.95

## Properties
Total magnetization (μB per formula unit): 0.00
Final energy (eV per formula unit): -14.10
Energy of formation from the pure elements (meV per atom): 22
Symmetry: No. 12